AsPbAu2 | PBEsol | relaxed

Cell lengths 5.036, 5.036, 5.036 Å; angles 126.11, 125.88, 79.90 degrees
Sites, in units of the cell vectors:
As (0.000, 0.000, 0.000)
Pb (0.500, 0.500, 0.000)
Au (0.249, 0.749, 0.500)
Au (0.751, 0.251, 0.500)

Properties
Calculated total energy = -16.3 eV/cell


Cd2AgSe | PBEsol | relaxed

Cell lengths 5.148, 5.148, 6.181 Å; angles 110.35, 110.35, 33.78 degrees
Sites, in units of the cell vectors:
Cd (0.000, 0.000, 0.000)
Cd (0.228, 0.228, 0.701)
Ag (0.475, 0.475, 0.576)
Se (0.781, 0.781, 0.227)

Properties
ΔE_f (raw) = 11 meV/atom
Calculated total energy = -9.5 eV/cell


Ho6Mn23 | PBEsol | relaxed

Cell lengths 8.264, 8.264, 8.264 Å; angles 60.00, 60.00, 60.00 degrees
Sites, in units of the cell vectors:
Ho (0.205, 0.205, 0.795)
Ho (0.205, 0.795, 0.205)
Ho (0.205, 0.795, 0.795)
Ho (0.795, 0.205, 0.205)
Ho (0.795, 0.205, 0.795)
Ho (0.795, 0.795, 0.205)
Mn (0.000, 0.000, 0.500)
Mn (0.000, 0.500, 0.000)
Mn (0.000, 0.500, 0.500)
Mn (0.135, 0.622, 0.622)
Mn (0.177, 0.177, 0.177)
Mn (0.177, 0.177, 0.468)
Mn (0.177, 0.468, 0.177)
Mn (0.378, 0.378, 0.378)
Mn (0.378, 0.378, 0.865)
Mn (0.378, 0.865, 0.378)
Mn (0.468, 0.177, 0.177)
Mn (0.500, 0.000, 0.000)
Mn (0.500, 0.000, 0.500)
Mn (0.500, 0.500, 0.000)
Mn (0.500, 0.500, 0.500)
Mn (0.532, 0.823, 0.823)
Mn (0.622, 0.135, 0.622)
Mn (0.622, 0.622, 0.135)
Mn (0.622, 0.622, 0.622)
Mn (0.823, 0.532, 0.823)
Mn (0.823, 0.823, 0.532)
Mn (0.823, 0.823, 0.823)
Mn (0.865, 0.378, 0.378)

Properties
Calculated total energy = -252.2 eV/cell


RuRh2Cl | PBEsol | relaxed

Cell lengths 5.151, 5.151, 5.151 Å; angles 148.95, 127.90, 61.90 degrees
Sites, in units of the cell vectors:
Ru (0.000, 0.000, 0.000)
Rh (0.260, 0.760, 0.500)
Rh (0.740, 0.240, 0.500)
Cl (0.500, 0.500, 0.000)

Properties
ΔE_f (raw) = 607 meV/atom
Energy above the lowest structure with this stoichiometry = 0.298 eV/atom
Calculated total energy = -26.0 eV/cell